# 1
The following is a DFT calculation (PBE-GGA) of a relaxed V5N2 crystal.

abc: 6.3891 6.3891 5.2637
angles: 99.66 99.66 44.58
Last column: nearest neighbours and their distance in Å.
Positions (direct):
V: 0.0770 0.9230 0.7500  4 N 2.15-2.21
V: 0.1286 0.3012 0.3096  3 N 2.03-2.21
V: 0.3012 0.1286 0.8096  3 N 2.03-2.21
V: 0.3343 0.4699 0.0927  2 N 2.01-2.05
V: 0.4699 0.3343 0.5927  2 N 2.01-2.05
V: 0.5301 0.6657 0.4073  2 N 2.01-2.05
V: 0.6657 0.5301 0.9073  2 N 2.01-2.05
V: 0.6988 0.8714 0.1904  3 N 2.03-2.21
V: 0.8714 0.6988 0.6904  3 N 2.03-2.21
V: 0.9230 0.0770 0.2500  4 N 2.15-2.21
N: 0.0837 0.6806 0.4090  7 V 2.01-2.21
N: 0.3194 0.9163 0.0910  7 V 2.01-2.21
N: 0.6806 0.0837 0.9090  7 V 2.01-2.21
N: 0.9163 0.3194 0.5910  7 V 2.01-2.21

mass density = 6.3 g/cm³
formation energy without anion corrections = -0.617 eV/atom
volume = 148.3 Å³/cell
SG = C2/c, No. 15

# 2
The following is a DFT calculation (PBE-GGA) of a relaxed ZrFe2Cl crystal.

abc: 3.0473 7.3419 7.3419
angles: 24.33 90.00 90.00
Last column: nearest neighbours and their distance in Å.
Positions (direct):
Zr: 0.0000 0.0000 0.0000  5 Fe 2.77-2.91, 4 Cl 2.87, 4 Zr 3.05-3.09
Fe: 0.0000 0.2024 0.2024  4 Fe 2.48
Fe: 0.5000 0.6194 0.6194  4 Fe 2.48, 4 Zr 2.77
Cl: 0.5000 0.3698 0.3698  2 Fe 2.84, 4 Zr 2.87, 4 Cl 3.05-3.09

mass density = 5.8 g/cm³
formation energy without anion corrections = -0.161 eV/atom
polymorph energy (0 for the lowest one) = 0 meV/atom
volume = 67.7 Å³/cell
SG = Amm2, No. 38

# 3
The following is a DFT calculation (PBE-GGA) of a relaxed Li4Dy3ZrS8 crystal.

abc: 7.6048 7.6048 7.6048
angles: 60.61 60.61 60.61
Last column: nearest neighbours and their distance in Å.
Positions (direct):
Li: 0.0000 0.0000 0.0000  6 S 2.76
Li: 0.0000 0.5000 0.5000  6 S 2.67-2.68
Li: 0.5000 0.0000 0.5000  6 S 2.67-2.68
Li: 0.5000 0.5000 0.0000  6 S 2.67-2.68
Dy: 0.0000 0.0000 0.5000  6 S 2.72-2.73
Dy: 0.0000 0.5000 0.0000  6 S 2.72-2.73
Dy: 0.5000 0.0000 0.0000  6 S 2.72-2.73
Zr: 0.5000 0.5000 0.5000  6 S 2.64
S: 0.2516 0.2516 0.2516  3 Li 2.68, 3 Dy 2.72
S: 0.2556 0.2556 0.7386  1 Zr 2.64, 3 Li 2.67-2.76, 2 Dy 2.73
S: 0.2556 0.7386 0.2556  1 Zr 2.64, 3 Li 2.67-2.76, 2 Dy 2.73
S: 0.2614 0.7444 0.7444  1 Zr 2.64, 3 Li 2.67-2.76, 2 Dy 2.73
S: 0.7386 0.2556 0.2556  1 Zr 2.64, 3 Li 2.67-2.76, 2 Dy 2.73
S: 0.7444 0.2614 0.7444  1 Zr 2.64, 3 Li 2.67-2.76, 2 Dy 2.73
S: 0.7444 0.7444 0.2614  1 Zr 2.64, 3 Li 2.67-2.76, 2 Dy 2.73
S: 0.7484 0.7484 0.7484  3 Li 2.68, 3 Dy 2.72

mass density = 4.5 g/cm³
formation energy without anion corrections = -1.746 eV/atom
volume = 315.3 Å³/cell
SG = R-3m, No. 166

# 4
The following is a DFT calculation (PBE-GGA) of a relaxed Cd2Si2Ir crystal.

abc: 6.2339 6.2339 4.5778
angles: 90.00 90.00 90.00
Last column: nearest neighbours and their distance in Å.
Positions (direct):
Cd: 0.1857 0.3143 0.0000  6 Si 2.79-3.05
Cd: 0.3143 0.8143 0.0000  6 Si 2.79-3.05
Cd: 0.6857 0.1857 0.0000  6 Si 2.79-3.05
Cd: 0.8143 0.6857 0.0000  6 Si 2.79-3.05
Si: 0.1339 0.6339 0.5000  1 Si 2.36, 2 Ir 2.43
Si: 0.3661 0.1339 0.5000  1 Si 2.36, 2 Ir 2.43
Si: 0.6339 0.8661 0.5000  1 Si 2.36, 2 Ir 2.43
Si: 0.8661 0.3661 0.5000  1 Si 2.36, 2 Ir 2.43
Ir: 0.0000 0.0000 0.5000  4 Si 2.43
Ir: 0.5000 0.5000 0.5000  4 Si 2.43

mass density = 8.8 g/cm³
formation energy without anion corrections = -0.033 eV/atom
volume = 177.9 Å³/cell
SG = P4/mbm, No. 127

# 5
The following is a DFT calculation (PBE-GGA) of a relaxed K2GeI4 crystal.

abc: 8.3900 8.3900 8.3900
angles: 118.36 118.36 92.86
Last column: nearest neighbours and their distance in Å.
Positions (direct):
K: 0.2500 0.7500 0.5000  4 I 3.48
K: 0.7500 0.2500 0.5000  4 I 3.48
Ge: 0.0000 0.0000 0.0000  4 I 2.90
I: 0.1067 0.1067 0.4307  1 Ge 2.90
I: 0.3240 0.8933 0.0000  1 Ge 2.90
I: 0.6760 0.6760 0.5693  1 Ge 2.90
I: 0.8933 0.3240 0.0000  1 Ge 2.90

mass density = 2.6 g/cm³
formation energy without anion corrections = -0.893 eV/atom
polymorph energy (0 for the lowest one) = 53 meV/atom
volume = 427.4 Å³/cell
SG = I-42m, No. 121

# 6
The following is a DFT calculation (PBE-GGA) of a relaxed TaCoIrRh crystal.

abc: 3.7938 3.8512 3.8594
angles: 90.00 90.00 90.00
Last column: nearest neighbours and their distance in Å.
Positions (direct):
Ta: 0.0000 0.0000 0.0000  4 Ir 2.70, 4 Rh 2.71, 4 Co 2.73
Co: 0.0000 0.5000 0.5000  4 Rh 2.70, 4 Ir 2.71, 4 Ta 2.73
Ir: 0.5000 0.5000 0.0000  4 Ta 2.70, 4 Co 2.71, 4 Rh 2.73
Rh: 0.5000 0.0000 0.5000  4 Co 2.70, 4 Ta 2.71, 4 Ir 2.73

mass density = 15.8 g/cm³
calculated formation energy = -0.499 eV/atom
volume = 56.4 Å³/cell
SG = Pmmm, No. 47

# 7
The following is a DFT calculation (PBE-GGA) of a relaxed ZnFeP2 crystal.

abc: 4.0288 4.0288 3.2948
angles: 90.00 90.00 90.00
Last column: nearest neighbours and their distance in Å.
Positions (direct):
Zn: 0.0000 0.0000 0.0000  8 P 2.60, 4 Fe 2.85
Fe: 0.5000 0.5000 0.0000  8 P 2.60, 4 Zn 2.85
P: 0.0000 0.5000 0.5000  4 Fe 2.60, 4 Zn 2.60, 4 P 2.85
P: 0.5000 0.0000 0.5000  4 Fe 2.60, 4 Zn 2.60, 4 P 2.85

mass density = 5.7 g/cm³
calculated formation energy = 0.339 eV/atom
volume = 53.5 Å³/cell
SG = P4/mmm, No. 123

# 8
The following is a DFT calculation (PBE-GGA) of a relaxed ScBi2OsO8 crystal.

abc: 5.1253 6.5748 5.1519
angles: 90.00 90.21 90.00
Last column: nearest neighbours and their distance in Å.
Positions (direct):
Sc: 0.0000 0.0000 0.0000  6 O 2.15-2.19
Bi: 0.5000 0.2483 0.5000  6 O 2.21-2.46
Bi: 0.5000 0.7517 0.5000  6 O 2.21-2.46
Os: 0.0000 0.5000 0.0000  6 O 1.82-1.98
O: 0.1672 0.2702 0.1839  1 Os 1.98, 1 Sc 2.19
O: 0.1672 0.7298 0.1839  1 Os 1.98, 1 Sc 2.19
O: 0.2645 0.5000 0.7651  1 Os 1.82
O: 0.3014 0.0000 0.7103  1 Sc 2.15, 2 Bi 2.21
O: 0.6986 0.0000 0.2897  1 Sc 2.15, 2 Bi 2.21
O: 0.7355 0.5000 0.2349  1 Os 1.82
O: 0.8328 0.2702 0.8161  1 Os 1.98, 1 Sc 2.19
O: 0.8328 0.7298 0.8161  1 Os 1.98, 1 Sc 2.19

mass density = 7.5 g/cm³
formation energy without anion corrections = -1.525 eV/atom
volume = 173.6 Å³/cell
SG = P2/m, No. 10

# 9
The following is a DFT calculation (PBE-GGA) of a relaxed Y4CuSe2S crystal.

abc: 7.0558 3.9566 7.0662
angles: 90.00 108.73 90.00
Last column: nearest neighbours and their distance in Å.
Positions (direct):
Y: 0.2433 0.0000 0.2356  2 Cu 2.79, 1 S 2.83, 3 Se 2.92
Y: 0.2554 0.5000 0.7642  2 S 2.80, 1 Cu 2.82, 3 Se 2.91-2.92
Y: 0.7446 0.5000 0.2358  2 S 2.80, 1 Cu 2.82, 3 Se 2.91-2.92
Y: 0.7567 0.0000 0.7644  2 Cu 2.79, 1 S 2.83, 3 Se 2.92
Cu: 0.0000 0.5000 0.0000  6 Y 2.79-2.82
Se: 0.0000 0.0000 0.5000  6 Y 2.91-2.92
Se: 0.5000 0.5000 0.5000  6 Y 2.92
S: 0.5000 0.0000 0.0000  6 Y 2.80-2.83

mass density = 5.4 g/cm³
formation energy without anion corrections = -1.443 eV/atom
volume = 186.8 Å³/cell
SG = P2/m, No. 10

# 10
The following is a DFT calculation (PBE-GGA) of a relaxed LiPuAlGe2 crystal.

abc: 6.3575 6.3575 6.3575
angles: 142.49 142.49 54.09
Last column: nearest neighbours and their distance in Å.
Positions (direct):
Li: 0.0000 0.0000 0.0000  4 Ge 2.57
Pu: 0.7500 0.2500 0.5000  8 Ge 3.16, 4 Li 3.49, 4 Al 3.49
Al: 0.5000 0.5000 0.0000  4 Ge 2.57
Ge: 0.1379 0.6379 0.5000  1 Ge 2.54, 2 Li 2.57, 2 Al 2.57
Ge: 0.3621 0.8621 0.5000  1 Ge 2.54, 2 Li 2.57, 2 Al 2.57

mass density = 7.4 g/cm³
calculated formation energy = -0.369 eV/atom
volume = 94.6 Å³/cell
SG = I-4m2, No. 119

# 11
The following is a DFT calculation (PBE-GGA) of a relaxed AgTePbSe3 crystal.

abc: 8.0886 4.6826 9.0815
angles: 90.00 96.99 90.00
Last column: nearest neighbours and their distance in Å.
Positions (direct):
Ag: 0.0997 0.2500 0.0329  4 Se 2.67-2.98, 2 Ag 2.86
Ag: 0.9003 0.7500 0.9671  4 Se 2.67-2.98, 2 Ag 2.86
Te: 0.3106 0.7500 0.3454  4 Se 2.75-2.91
Te: 0.6894 0.2500 0.6546  4 Se 2.75-2.91
Pb: 0.1763 0.2500 0.6990  3 Se 2.93-3.03, 1 Ag 3.17
Pb: 0.8237 0.7500 0.3010  3 Se 2.93-3.03, 1 Ag 3.17
Se: 0.1358 0.2500 0.3630  2 Te 2.75, 1 Ag 2.98, 1 Pb 3.03
Se: 0.2590 0.7500 0.0385  3 Ag 2.67-2.89, 1 Te 2.77
Se: 0.3874 0.7500 0.6673  1 Te 2.91, 2 Pb 2.93
Se: 0.6126 0.2500 0.3327  1 Te 2.91, 2 Pb 2.93
Se: 0.7410 0.2500 0.9615  3 Ag 2.67-2.89, 1 Te 2.77
Se: 0.8642 0.7500 0.6370  2 Te 2.75, 1 Ag 2.98, 1 Pb 3.03

mass density = 6.6 g/cm³
formation energy without anion corrections = -0.120 eV/atom
volume = 341.4 Å³/cell
SG = P2_1/m, No. 11

# 12
The following is a DFT calculation (PBE-GGA) of a relaxed VAs crystal.

abc: 5.8660 3.3425 6.2681
angles: 90.00 90.00 90.00
Last column: nearest neighbours and their distance in Å.
Positions (direct):
V: 0.0054 0.2500 0.1827  6 As 2.44-2.68
V: 0.4946 0.7500 0.6827  6 As 2.44-2.68
V: 0.5054 0.2500 0.3173  6 As 2.44-2.68
V: 0.9946 0.7500 0.8173  6 As 2.44-2.68
As: 0.1928 0.2500 0.5733  6 V 2.44-2.68
As: 0.3072 0.7500 0.0733  6 V 2.44-2.68
As: 0.6928 0.2500 0.9267  6 V 2.44-2.68
As: 0.8072 0.7500 0.4267  6 V 2.44-2.68

mass density = 6.8 g/cm³
calculated formation energy = -0.502 eV/atom
volume = 122.9 Å³/cell
SG = Pnma, No. 62